w | A plane-wave DFT calculation with meta-GGA SCAN was carried out for TlRuPb2 at its PBEsol-relaxed geometry.

Structure (POSCAR):
```
TlRuPb2
1.0
3.596 0.000 0.000
0.000 4.723 0.000
-1.799 0.000 5.383
Tl Ru Pb
1 1 2
direct
0.000 0.000 0.000
0.860 0.500 0.714
0.275 0.000 0.550
0.585 0.500 0.168
```

Its space group is Pm, No. 6. As for the crystal system: monoclinic. The total magnetization is 0.01 Bohr magnetons per cell.


x | A plane-wave DFT calculation with meta-GGA SCAN was carried out for TlRuPb2 at its PBEsol-relaxed geometry.

Structure (POSCAR):
```
TlRuPb2
1.0
0.000 3.573 3.573
3.573 0.000 3.573
3.573 3.573 0.000
Tl Ru Pb
1 1 2
direct
0.000 0.000 0.000
0.250 0.250 0.250
0.500 0.500 0.500
0.750 0.750 0.750
```

Its space group is F-43m, No. 216. As for the crystal system: cubic. The total magnetization is 0.00 Bohr magnetons per cell.


Calculated relative energies: w 0; x 201, given in meV per atom


w | A plane-wave DFT calculation with meta-GGA SCAN was carried out for TePb2S at its PBEsol-relaxed geometry.

Structure (POSCAR):
```
TePb2S
1.0
2.176 1.256 7.097
-2.176 1.256 7.097
0.000 -2.512 7.097
Te Pb S
1 2 1
direct
0.000 0.000 0.000
0.241 0.241 0.241
0.759 0.759 0.759
0.500 0.500 0.500
```

Its space group is R-3m, No. 166. As for the crystal system: trigonal. The total magnetization is 0.00 Bohr magnetons per cell.


x | A plane-wave DFT calculation with meta-GGA SCAN was carried out for TePb2S at its PBEsol-relaxed geometry.

Structure (POSCAR):
```
TePb2S
1.0
4.378 0.000 0.000
0.000 4.378 0.000
0.000 0.000 6.196
Te Pb S
1 2 1
direct
0.000 0.000 0.000
0.000 0.000 0.500
0.500 0.500 0.000
0.500 0.500 0.500
```

Its space group is P4/mmm, No. 123. As for the crystal system: tetragonal. The total magnetization is 0.00 Bohr magnetons per cell.


Calculated relative energies: w 0; x 56, given in meV per atom


w | A plane-wave DFT calculation with meta-GGA SCAN was carried out for SbPb2 at its PBEsol-relaxed geometry.

Structure (POSCAR):
```
SbPb2
1.0
7.401 0.000 0.000
0.000 7.401 0.000
0.000 0.000 7.401
Sb Pb
4 8
direct
0.000 0.000 0.000
0.000 0.500 0.500
0.500 0.000 0.500
0.500 0.500 0.000
0.124 0.624 0.876
0.124 0.876 0.376
0.376 0.124 0.876
0.376 0.376 0.376
0.624 0.624 0.624
0.624 0.876 0.124
0.876 0.124 0.624
0.876 0.376 0.124
```

Its space group is Pa-3, No. 205. As for the crystal system: cubic. The total magnetization is 0.00 Bohr magnetons per cell.


x | A plane-wave DFT calculation with meta-GGA SCAN was carried out for SbPb2 at its PBEsol-relaxed geometry.

Structure (POSCAR):
```
SbPb2
1.0
2.771 -2.768 0.000
2.771 2.768 0.000
-2.766 0.000 12.179
Sb Pb
2 4
direct
0.125 0.875 0.750
0.875 0.125 0.250
0.308 0.557 0.114
0.443 0.692 0.386
0.557 0.308 0.614
0.692 0.443 0.886
```

Its space group is C2/c, No. 15. As for the crystal system: monoclinic. The total magnetization is 0.00 Bohr magnetons per cell.


y | A plane-wave DFT calculation with meta-GGA SCAN was carried out for SbPb2 at its PBEsol-relaxed geometry.

Structure (POSCAR):
```
SbPb2
1.0
-1.958 1.958 5.629
1.958 -1.958 5.629
1.958 1.958 -5.629
Sb Pb
1 2
direct
0.000 0.000 0.000
0.346 0.346 0.000
0.654 0.654 0.000
```

Its space group is I4/mmm, No. 139. As for the crystal system: tetragonal. The total magnetization is 0.00 Bohr magnetons per cell.


z | A plane-wave DFT calculation with meta-GGA SCAN was carried out for SbPb2 at its PBEsol-relaxed geometry.

Structure (POSCAR):
```
SbPb2
1.0
5.568 0.000 0.000
-2.784 4.822 0.000
0.000 0.000 3.247
Sb Pb
1 2
direct
0.000 0.000 0.000
0.333 0.667 0.205
0.667 0.333 0.795
```

Its space group is P-3m1, No. 164. As for the crystal system: trigonal. The total magnetization is 0.00 Bohr magnetons per cell.


Calculated relative energies: w 0; x 31; y 21; z 12, given in meV per atom


w | A plane-wave DFT calculation with meta-GGA SCAN was carried out for SbPb2 at its PBEsol-relaxed geometry.

Structure (POSCAR):
```
SbPb2
1.0
8.614 0.000 0.000
-4.307 7.460 0.000
0.000 0.000 4.222
Sb Pb
3 6
direct
0.000 0.000 0.000
0.333 0.667 0.500
0.667 0.333 0.500
0.000 0.272 0.500
0.000 0.594 0.000
0.272 0.000 0.500
0.406 0.406 0.000
0.594 0.000 0.000
0.728 0.728 0.500
```

Its space group is P-62m, No. 189. As for the crystal system: hexagonal. The total magnetization is 0.00 Bohr magnetons per cell.


x | A plane-wave DFT calculation with meta-GGA SCAN was carried out for SbPb2 at its PBEsol-relaxed geometry.

Structure (POSCAR):
```
SbPb2
1.0
6.622 0.000 0.000
0.000 5.405 0.000
0.000 0.000 9.799
Sb Pb
4 8
direct
0.213 0.250 0.101
0.287 0.750 0.601
0.713 0.250 0.399
0.787 0.750 0.899
0.055 0.250 0.785
0.191 0.250 0.429
0.309 0.750 0.929
0.445 0.750 0.285
0.555 0.250 0.715
0.691 0.250 0.071
0.809 0.750 0.571
0.945 0.750 0.215
```

Its space group is Pnma, No. 62. As for the crystal system: orthorhombic. The total magnetization is 0.00 Bohr magnetons per cell.


Calculated relative energies: w 27; x 0, given in meV per atom


w | A plane-wave DFT calculation with meta-GGA SCAN was carried out for SbPb2 at its PBEsol-relaxed geometry.

Structure (POSCAR):
```
SbPb2
1.0
5.528 0.000 0.000
-2.764 4.787 0.000
0.000 0.000 6.560
Sb Pb
2 4
direct
0.333 0.667 0.250
0.667 0.333 0.750
0.000 0.000 0.000
0.000 0.000 0.500
0.333 0.667 0.750
0.667 0.333 0.250
```

Its space group is P6_3/mmc, No. 194. As for the crystal system: hexagonal. The total magnetization is 0.00 Bohr magnetons per cell.


x | A plane-wave DFT calculation with meta-GGA SCAN was carried out for SbPb2 at its PBEsol-relaxed geometry.

Structure (POSCAR):
```
SbPb2
1.0
6.435 -1.699 0.000
6.435 1.699 0.000
-2.180 0.000 7.846
Sb Pb
2 4
direct
0.000 0.000 0.000
0.674 0.674 0.342
0.275 0.275 0.061
0.336 0.336 0.669
0.611 0.611 0.727
0.953 0.953 0.382
```

Its space group is Cm, No. 8. As for the crystal system: monoclinic. The total magnetization is 0.00 Bohr magnetons per cell.


y | A plane-wave DFT calculation with meta-GGA SCAN was carried out for SbPb2 at its PBEsol-relaxed geometry.

Structure (POSCAR):
```
SbPb2
1.0
6.570 -1.700 0.000
6.570 1.700 0.000
-2.721 0.000 7.822
Sb Pb
2 4
direct
0.207 0.207 0.177
0.793 0.793 0.823
0.128 0.128 0.498
0.443 0.443 0.156
0.557 0.557 0.844
0.872 0.872 0.502
```

Its space group is C2/m, No. 12. As for the crystal system: monoclinic. The total magnetization is 0.00 Bohr magnetons per cell.


Calculated relative energies: w 0; x 44; y 14, given in meV per atom


w | A plane-wave DFT calculation with meta-GGA SCAN was carried out for SbPb4 at its PBEsol-relaxed geometry.

Structure (POSCAR):
```
SbPb4
1.0
-3.892 3.892 2.408
3.892 -3.892 2.408
3.892 3.892 -2.408
Sb Pb
1 4
direct
0.000 0.000 0.000
0.204 0.401 0.604
0.401 0.796 0.197
0.599 0.204 0.803
0.796 0.599 0.396
```

Its space group is I4/m, No. 87. As for the crystal system: tetragonal. The total magnetization is 0.00 Bohr magnetons per cell.


x | A plane-wave DFT calculation with meta-GGA SCAN was carried out for SbPb4 at its PBEsol-relaxed geometry.

Structure (POSCAR):
```
SbPb4
1.0
1.722 0.994 14.165
-1.722 0.994 14.165
0.000 -1.988 14.165
Sb Pb
1 4
direct
0.000 0.000 0.000
0.200 0.200 0.200
0.398 0.398 0.398
0.602 0.602 0.602
0.800 0.800 0.800
```

Its space group is R-3m, No. 166. As for the crystal system: trigonal. The total magnetization is 0.00 Bohr magnetons per cell.


Calculated relative energies: w 0; x 13, given in meV per atom


w | A plane-wave DFT calculation with meta-GGA SCAN was carried out for Sc2SbPb at its PBEsol-relaxed geometry.

Structure (POSCAR):
```
Sc2SbPb
1.0
3.755 0.000 0.000
0.000 3.755 0.000
0.000 0.000 6.569
Sc Sb Pb
2 1 1
direct
0.000 0.000 0.235
0.000 0.000 0.765
0.500 0.500 0.000
0.500 0.500 0.500
```

Its space group is P4/mmm, No. 123. As for the crystal system: tetragonal. The total magnetization is 0.93 Bohr magnetons per cell.


x | A plane-wave DFT calculation with meta-GGA SCAN was carried out for Sc2SbPb at its PBEsol-relaxed geometry.

Structure (POSCAR):
```
Sc2SbPb
1.0
-2.107 2.107 5.122
2.107 -2.107 5.122
2.107 2.107 -5.122
Sc Sb Pb
2 1 1
direct
0.000 0.000 0.000
0.750 0.250 0.500
0.500 0.500 0.000
0.250 0.750 0.500
```

Its space group is I-4m2, No. 119. As for the crystal system: tetragonal. The total magnetization is 0.00 Bohr magnetons per cell.


Calculated relative energies: w 101; x 0, given in meV per atom


w | A plane-wave DFT calculation with meta-GGA SCAN was carried out for SiSb2Pb at its PBEsol-relaxed geometry.

Structure (POSCAR):
```
SiSb2Pb
1.0
4.617 0.000 0.000
0.000 4.617 0.000
0.000 0.000 4.673
Si Sb Pb
1 2 1
direct
0.000 0.000 0.000
0.000 0.500 0.500
0.500 0.000 0.500
0.500 0.500 0.000
```

Its space group is P4/mmm, No. 123. As for the crystal system: tetragonal. The total magnetization is 0.00 Bohr magnetons per cell.


x | A plane-wave DFT calculation with meta-GGA SCAN was carried out for SiSb2Pb at its PBEsol-relaxed geometry.

Structure (POSCAR):
```
SiSb2Pb
1.0
0.000 3.655 3.655
3.655 0.000 3.655
3.655 3.655 0.000
Si Sb Pb
1 2 1
direct
0.000 0.000 0.000
0.500 0.500 0.500
0.750 0.750 0.750
0.250 0.250 0.250
```

Its space group is F-43m, No. 216. As for the crystal system: cubic. The total magnetization is 0.00 Bohr magnetons per cell.


Calculated relative energies: w 17; x 0, given in meV per atom


w | A plane-wave DFT calculation with meta-GGA SCAN was carried out for SiSbPb2 at its PBEsol-relaxed geometry.

Structure (POSCAR):
```
SiSbPb2
1.0
3.561 0.000 0.000
0.000 3.561 0.000
0.000 0.000 8.049
Si Sb Pb
1 1 2
direct
0.000 0.000 0.000
0.500 0.500 0.834
0.000 0.000 0.547
0.500 0.500 0.246
```

Its space group is P4mm, No. 99. As for the crystal system: tetragonal. The total magnetization is 0.00 Bohr magnetons per cell.


x | A plane-wave DFT calculation with meta-GGA SCAN was carried out for SiSbPb2 at its PBEsol-relaxed geometry.

Structure (POSCAR):
```
SiSbPb2
1.0
-1.846 2.232 6.523
1.846 -2.232 6.523
1.846 2.232 -6.523
Si Sb Pb
1 1 2
direct
0.000 0.000 0.000
0.500 0.500 0.000
0.183 0.683 0.500
0.817 0.317 0.500
```

Its space group is Immm, No. 71. As for the crystal system: orthorhombic. The total magnetization is 0.00 Bohr magnetons per cell.


y | A plane-wave DFT calculation with meta-GGA SCAN was carried out for SiSbPb2 at its PBEsol-relaxed geometry.

Structure (POSCAR):
```
SiSbPb2
1.0
1.955 1.129 8.182
-1.955 1.129 8.182
0.000 -2.257 8.182
Si Sb Pb
1 1 2
direct
0.000 0.000 0.000
0.724 0.724 0.724
0.254 0.254 0.254
0.488 0.488 0.488
```

Its space group is R3m, No. 160. As for the crystal system: trigonal. The total magnetization is 0.00 Bohr magnetons per cell.


z | A plane-wave DFT calculation with meta-GGA SCAN was carried out for SiSbPb2 at its PBEsol-relaxed geometry.

Structure (POSCAR):
```
SiSbPb2
1.0
0.000 3.713 3.713
3.713 0.000 3.713
3.713 3.713 0.000
Si Sb Pb
1 1 2
direct
0.000 0.000 0.000
0.500 0.500 0.500
0.250 0.250 0.250
0.750 0.750 0.750
```

Its space group is Fm-3m, No. 225. As for the crystal system: cubic. The total magnetization is 0.00 Bohr magnetons per cell.


Calculated relative energies: w 113; x 79; y 0; z 243, given in meV per atom


w | A plane-wave DFT calculation with meta-GGA SCAN was carried out for Ta2SbPb at its PBEsol-relaxed geometry.

Structure (POSCAR):
```
Ta2SbPb
1.0
-1.775 2.422 4.735
1.775 -2.422 4.735
1.775 2.422 -4.735
Ta Sb Pb
2 1 1
direct
0.000 0.000 0.000
0.768 0.268 0.500
0.531 0.531 0.000
0.254 0.754 0.500
```

Its space group is Imm2, No. 44. As for the crystal system: orthorhombic. The total magnetization is 0.00 Bohr magnetons per cell.


x | A plane-wave DFT calculation with meta-GGA SCAN was carried out for Ta2SbPb at its PBEsol-relaxed geometry.

Structure (POSCAR):
```
Ta2SbPb
1.0
4.797 -1.716 0.000
4.797 1.716 0.000
-0.585 0.000 5.033
Ta Sb Pb
2 1 1
direct
0.247 0.247 0.227
0.753 0.753 0.773
0.500 0.500 0.000
0.000 0.000 0.500
```

Its space group is C2/m, No. 12. As for the crystal system: monoclinic. The total magnetization is 0.00 Bohr magnetons per cell.


Calculated relative energies: w 0; x 40, given in meV per atom


w | A plane-wave DFT calculation with meta-GGA SCAN was carried out for Tc2SbPb at its PBEsol-relaxed geometry.

Structure (POSCAR):
```
Tc2SbPb
1.0
3.051 0.000 0.000
0.000 3.051 0.000
0.000 0.000 8.357
Tc Sb Pb
2 1 1
direct
0.000 0.000 0.000
0.500 0.500 0.178
0.500 0.500 0.782
0.000 0.000 0.427
```

Its space group is P4mm, No. 99. As for the crystal system: tetragonal. The total magnetization is 0.00 Bohr magnetons per cell.


x | A plane-wave DFT calculation with meta-GGA SCAN was carried out for Tc2SbPb at its PBEsol-relaxed geometry.

Structure (POSCAR):
```
Tc2SbPb
1.0
4.874 -1.581 0.000
4.874 1.581 0.000
-1.753 0.000 4.678
Tc Sb Pb
2 1 1
direct
0.000 0.000 0.000
0.712 0.712 0.372
0.464 0.464 0.510
0.248 0.248 0.882
```

Its space group is Cm, No. 8. As for the crystal system: monoclinic. The total magnetization is 0.00 Bohr magnetons per cell.


Calculated relative energies: w 0; x 283, given in meV per atom